Entry 1:
This record from the Alexandria database describes a relaxed CrBTeRhAu crystal. The functional is GGA-PBE.

Cell: 3.305 3.306 8.966 Å, 90.56 90.36 119.99°
Positions (direct):
Rh: 0.719 0.981 0.403
B: 0.381 0.309 0.300
Te: 0.393 0.323 0.640
Au: 0.367 0.292 0.965
Cr: 0.043 0.637 0.181

Properties
SG: P1 (1)
Total DFT energy (no corrections) in Ry per atom: -0.439
Distance to the lowest polymorph of the same formula in eV per atom: 0.111
Raw formation energy in meV/atom: 39

Entry 2:
This record from the Alexandria database describes a relaxed CrBTeRhAu crystal. The functional is GGA-PBE.

Cell: 3.278 3.278 26.170 Å, 90.00 90.00 120.00°
Positions (direct):
Rh: 0.000 0.000 0.239
Rh: 0.333 0.667 0.906
Rh: 0.667 0.333 0.573
B: 0.000 0.000 0.874
B: 0.333 0.667 0.540
B: 0.667 0.333 0.207
Te: 0.000 0.000 0.094
Te: 0.333 0.667 0.760
Te: 0.667 0.333 0.427
Au: 0.000 0.000 0.987
Au: 0.333 0.667 0.654
Au: 0.667 0.333 0.320
Cr: 0.000 0.000 0.496
Cr: 0.333 0.667 0.162
Cr: 0.667 0.333 0.829

Properties
SG: R3m (160)
Total DFT energy (no corrections) in Ry per atom: -0.447
Distance to the lowest polymorph of the same formula in eV per atom: 0.000
Raw formation energy in meV/atom: -72

Entry 3:
This record from the Alexandria database describes a relaxed CrBTeRhAu crystal. The functional is GGA-PBE.

Cell: 8.580 3.274 5.671 Å, 90.00 90.14 90.00°
Positions (direct):
Rh: 0.295 0.000 0.711
Rh: 0.295 0.500 0.211
B: 0.395 0.000 0.045
B: 0.395 0.500 0.545
Te: 0.744 0.000 0.713
Te: 0.744 0.500 0.213
Au: 0.050 0.000 0.044
Au: 0.050 0.500 0.544
Cr: 0.529 0.000 0.379
Cr: 0.529 0.500 0.879

Properties
SG: Cm (8)
Total DFT energy (no corrections) in Ry per atom: -0.445
Distance to the lowest polymorph of the same formula in eV per atom: 0.026
Raw formation energy in meV/atom: -45

Entry 4:
This record from the Alexandria database describes a relaxed CrBTeRhAu crystal. The functional is GGA-PBE.

Cell: 2.999 3.316 16.337 Å, 90.00 90.00 90.00°
Positions (direct):
Rh: 0.000 0.000 0.649
Rh: 0.000 0.500 0.149
B: 0.500 0.000 0.178
B: 0.500 0.500 0.678
Te: 0.500 0.000 0.867
Te: 0.500 0.500 0.367
Au: 0.500 0.000 0.035
Au: 0.500 0.500 0.535
Cr: 0.000 0.000 0.277
Cr: 0.000 0.500 0.777

Properties
SG: Amm2 (38)
Total DFT energy (no corrections) in Ry per atom: -0.437
Distance to the lowest polymorph of the same formula in eV per atom: 0.146
Raw formation energy in meV/atom: 74

Entry 5:
This record from the Alexandria database describes a relaxed CrBTeRhAu crystal. The functional is GGA-PBE.

Cell: 3.087 4.904 5.565 Å, 74.52 90.12 89.94°
Positions (direct):
Rh: 0.370 0.811 0.862
B: 0.872 0.743 0.120
Te: 0.876 0.343 0.812
Au: 0.872 0.051 0.389
Cr: 0.373 0.563 0.380

Properties
SG: P1 (1)
Total DFT energy (no corrections) in Ry per atom: -0.431
Distance to the lowest polymorph of the same formula in eV per atom: 0.228
Raw formation energy in meV/atom: 156

Entry 6:
This record from the Alexandria database describes a relaxed CrBTeRhAu crystal. The functional is GGA-PBE.

Cell: 9.327 3.246 5.650 Å, 90.00 101.78 90.00°
Positions (direct):
Rh: 0.402 0.000 0.723
Rh: 0.402 0.500 0.223
B: 0.300 0.000 0.022
B: 0.300 0.500 0.522
Te: 0.643 0.000 0.473
Te: 0.643 0.500 0.973
Au: 0.964 0.000 0.574
Au: 0.964 0.500 0.074
Cr: 0.180 0.000 0.314
Cr: 0.180 0.500 0.814

Properties
SG: Cm (8)
Total DFT energy (no corrections) in Ry per atom: -0.441
Distance to the lowest polymorph of the same formula in eV per atom: 0.087
Raw formation energy in meV/atom: 15

Entry 7:
This record from the Alexandria database describes a relaxed ScCr2BAu crystal. The functional is GGA-PBE.

Cell: 4.801 4.954 4.801 Å, 90.00 90.00 90.00°
Positions (direct):
Sc: 0.000 0.000 0.000
Cr: 0.000 0.000 0.500
Cr: 0.500 0.000 0.000
B: 0.500 0.500 0.500
Au: 0.000 0.500 0.000

Properties
SG: P4/mmm (123)
DFT formation energy in eV per atom: 2.19
Total DFT energy (no corrections) in Ry per atom: -0.361

Entry 8:
This record from the Alexandria database describes a relaxed Sc2CrBAu crystal. The functional is GGA-PBE.

Cell: 4.694 4.699 4.694 Å, 90.00 90.00 90.00°
Positions (direct):
Sc: 0.000 0.000 0.500
Sc: 0.500 0.000 0.000
Cr: 0.000 0.000 0.000
B: 0.500 0.500 0.500
Au: 0.000 0.500 0.000

Properties
SG: P4/mmm (123)
DFT formation energy in eV per atom: 1.18
Total DFT energy (no corrections) in Ry per atom: -0.387